[1]
## Ac2SiPb (PBE-GGA)

Data for an optimized crystal structure of Ac2SiPb.

total moment = 0.00 μB per cell
raw formation energy = -0.519 eV/atom
calculated density = 8.6 Mg/m³
DFT total energy = -77.69 eV/cell

abc: 7.1833 4.8014 15.3464
angles: 90.00 90.00 90.00
Last column: nearest neighbours and their distance in Å.
Space group Amm2 (No. 38)
One atom of each set of equivalent atoms:
Ac1 0.0000 0.0000 0.0000 x2  4 Pb 3.36, 4 Si 3.42
Ac2 0.0000 0.0000 0.2522 x2  4 Si 3.25, 2 Pb 3.43
Ac3 0.5000 0.0000 0.0834 x2  4 Si 3.44, 4 Pb 3.69, 2 Ac 3.81
Ac4 0.5000 0.0000 0.7929 x2  2 Si 3.36, 4 Pb 3.53
Si1 0.1752 0.0000 0.6358 x4  1 Si 2.52
Pb1 0.2898 0.0000 0.4296 x4  1 Pb 3.02, 1 Si 3.27, 2 Ac 3.36

=====

[2]
## Ac4SiPb2 (PBE-GGA)

Data for an optimized crystal structure of Ac4SiPb2.

total moment = 0.00 μB per cell
raw formation energy = -0.306 eV/atom
ΔE to the lowest computed polymorph = 0.195 eV/atom
calculated density = 7.6 Mg/m³
DFT total energy = -62.83 eV/cell

abc: 5.7854 5.7854 17.7016
angles: 90.00 90.00 90.00
Last column: nearest neighbours and their distance in Å.
Space group I4/mmm (No. 139)
One atom of each set of equivalent atoms:
Ac1 0.0000 0.0000 0.1770 x4  1 Si 3.13, 1 Pb 3.40
Ac2 0.0000 0.5000 0.0000 x4  2 Si 2.89
Si1 0.0000 0.0000 0.0000 x2  6 Ac 2.89-3.13
Pb1 0.0000 0.0000 0.3692 x4  5 Ac 3.40-3.71

=====

[3]
## Ac7SiPb2 (PBE-GGA)

Data for an optimized crystal structure of Ac7SiPb2.

total moment = 0.00 μB per cell
raw formation energy = 0.290 eV/atom
calculated density = 7.6 Mg/m³
DFT total energy = -154.78 eV/cell

abc: 12.1085 12.1085 12.1085
angles: 90.00 90.00 90.00
Last column: nearest neighbours and their distance in Å.
Space group Fm-3m (No. 225)
One atom of each set of equivalent atoms:
Ac1 0.0000 0.0000 0.0000 x4  6 Ac 3.15
Ac2 0.0000 0.0000 0.2602 x24  1 Si 2.90, 1 Ac 3.15
Si1 0.0000 0.0000 0.5000 x4  6 Ac 2.90
Pb1 0.2500 0.2500 0.2500 x8  12 Ac 4.28

=====

[4]
## AcSiPb (PBE-GGA)

Data for an optimized crystal structure of AcSiPb.

total moment = 0.00 μB per cell
raw formation energy = -0.340 eV/atom
ΔE to the lowest computed polymorph = 0.117 eV/atom
calculated density = 8.2 Mg/m³
DFT total energy = -28.52 eV/cell

abc: 4.6081 6.4355 6.7235
angles: 90.00 109.97 90.00
Last column: nearest neighbours and their distance in Å.
Space group P2_1/m (No. 11)
One atom of each set of equivalent atoms:
Ac1 0.1541 0.2500 0.3086 x2  4 Si 3.14-3.23, 2 Pb 3.49
Si1 0.1775 0.7500 0.3538 x2  2 Pb 2.78-2.79
Pb1 0.4468 0.2500 0.8941 x2  2 Si 2.78-2.79

=====

[5]
## Ac6SiPb3 (PBE-GGA)

Data for an optimized crystal structure of Ac6SiPb3.

total moment = 0.01 μB per cell
raw formation energy = -0.339 eV/atom
calculated density = 7.8 Mg/m³
DFT total energy = -267.52 eV/cell

abc: 14.6889 14.6889 13.7963
angles: 90.00 90.00 120.00
Last column: nearest neighbours and their distance in Å.
Space group R-3 (No. 148, hexagonal axes)
One atom of each set of equivalent atoms:
Ac1 0.0322 0.8329 0.3928 x18  1 Si 3.10, 1 Pb 3.40
Ac2 0.0526 0.8513 0.8826 x18  1 Si 3.11, 2 Pb 3.38-3.40
Si1 0.0000 0.0000 0.0000 x3  6 Ac 3.11
Si2 0.0000 0.0000 0.5000 x3  6 Ac 3.10
Pb1 0.0496 0.7696 0.6511 x18  7 Ac 3.38-3.72

=====

[6]
## Ac4Si2Pb5 (PBE-GGA)

Data for an optimized crystal structure of Ac4Si2Pb5.

total moment = 0.00 μB per cell
raw formation energy = -0.482 eV/atom
calculated density = 9.3 Mg/m³
DFT total energy = -51.13 eV/cell

abc: 7.9843 4.6822 9.5732
angles: 90.00 94.92 90.00
Last column: nearest neighbours and their distance in Å.
Space group P2/m (No. 10)
One atom of each set of equivalent atoms:
Ac1 0.2128 0.0000 0.3535 x2  2 Si 3.39, 8 Pb 3.49-3.66
Ac2 0.2286 0.0000 0.9078 x2  4 Si 3.35-3.38, 6 Pb 3.55-3.69
Si1 0.0783 0.5000 0.1134 x2  1 Si 2.41
Pb1 0.1376 0.5000 0.6336 x2  1 Si 3.09, 2 Pb 3.23-3.26
Pb2 0.4466 0.5000 0.1598 x2  1 Si 2.94, 2 Pb 3.25
Pb3 0.5000 0.5000 0.5000 x1  4 Pb 3.25-3.26, 4 Ac 3.49

=====

[7]
## AcSiPb (PBE-GGA)

Data for an optimized crystal structure of AcSiPb.

total moment = 0.00 μB per cell
raw formation energy = -0.457 eV/atom
ΔE to the lowest computed polymorph = 0.000 eV/atom
calculated density = 8.7 Mg/m³
DFT total energy = -58.44 eV/cell

abc: 4.4807 19.8281 3.9860
angles: 90.00 90.00 90.00
Last column: nearest neighbours and their distance in Å.
Space group Cmcm (No. 63)
One atom of each set of equivalent atoms:
Ac1 0.0000 0.0932 0.2500 x4  6 Si 3.22-3.38
Si1 0.0000 0.4655 0.2500 x4  2 Si 2.42
Pb1 0.0000 0.2862 0.2500 x4  4 Pb 3.32, 1 Si 3.55

=====

[8]
## Ac6SiPb2 (PBE-GGA)

Data for an optimized crystal structure of Ac6SiPb2.

total moment = 0.00 μB per cell
raw formation energy = -0.369 eV/atom
calculated density = 8.4 Mg/m³
DFT total energy = -81.63 eV/cell

abc: 6.9540 9.2627 12.9824
angles: 90.00 121.60 90.00
Last column: nearest neighbours and their distance in Å.
Space group P2_1/c (No. 14)
One atom of each set of equivalent atoms:
Ac1 0.0773 0.1716 0.4454 x4  1 Si 3.08
Ac2 0.3195 0.6843 0.4446 x4  1 Si 3.11
Ac3 0.3524 0.0328 0.2352 x4  1 Si 3.04
Si1 0.5000 0.0000 0.5000 x2  6 Ac 3.04-3.11
Pb1 0.1743 0.1187 0.7540 x4  8 Ac 3.49-3.73

=====

[9]
## Ac2SiPb2 (PBE-GGA)

Data for an optimized crystal structure of Ac2SiPb2.

total moment = 0.00 μB per cell
raw formation energy = -0.169 eV/atom
calculated density = 8.7 Mg/m³
DFT total energy = -43.80 eV/cell

abc: 4.2632 4.2632 18.7827
angles: 90.00 90.00 90.00
Last column: nearest neighbours and their distance in Å.
Space group I4/mmm (No. 139)
One atom of each set of equivalent atoms:
Ac1 0.0000 0.0000 0.0908 x4  1 Ac 3.41, 4 Si 3.46, 4 Pb 3.67
Si1 0.0000 0.0000 0.5000 x2  8 Ac 3.46
Pb1 0.0000 0.5000 0.2500 x4  4 Pb 3.01

=====

[10]
## SrAcSiPb (PBE-GGA)

Data for an optimized crystal structure of SrAcSiPb.

total moment = 0.00 μB per cell
raw formation energy = -0.292 eV/atom
calculated density = 7.2 Mg/m³
DFT total energy = -64.36 eV/cell

abc: 7.9893 7.9893 7.9893
angles: 90.00 90.00 90.00
Last column: nearest neighbours and their distance in Å.
Space group F-43m (No. 216)
One atom of each set of equivalent atoms:
Sr1 0.0000 0.0000 0.0000 x4  4 Pb 3.46, 4 Si 3.46
Ac1 0.0000 0.0000 0.5000 x4  4 Pb 3.46, 4 Si 3.46
Si1 0.2500 0.2500 0.2500 x4  4 Ac 3.46, 4 Sr 3.46
Pb1 0.2500 0.2500 0.7500 x4  4 Ac 3.46, 4 Sr 3.46

=====

[11]
## AcSm5Pb6 (PBE-GGA)

Data for an optimized crystal structure of AcSm5Pb6.

total moment = 0.00 μB per cell
E_form = -0.4766 eV per atom
ΔE to the lowest computed polymorph = 0.000 eV/atom
calculated density = 10.1 Mg/m³
DFT total energy = -111.35 eV/cell

abc: 5.1159 9.1678 15.5617
angles: 90.00 90.00 90.00
Last column: nearest neighbours and their distance in Å.
Space group Immm (No. 71)
One atom of each set of equivalent atoms:
Ac1 0.0000 0.0000 0.0000 x2  8 Pb 3.48-3.53, 4 Sm 3.68
Sm1 0.0000 0.0000 0.3341 x4  8 Pb 3.41-3.44, 4 Sm 3.62-3.63
Sm2 0.0000 0.5000 0.0000 x2  8 Pb 3.39-3.49, 4 Sm 3.63
Sm3 0.0000 0.5000 0.3302 x4  8 Pb 3.36-3.54, 2 Sm 3.62, 2 Ac 3.68
Pb1 0.0000 0.2423 0.5000 x4  6 Sm 3.39-3.54, 2 Ac 3.48, 4 Pb 3.69
Pb2 0.0000 0.2530 0.1707 x8  7 Sm 3.36-3.49, 1 Ac 3.53, 4 Pb 3.55-3.69

=====

[12]
## Ac2SmPb (PBE-GGA)

Data for an optimized crystal structure of Ac2SmPb.

total moment = 0.98 μB per cell
E_form = 0.1093 eV per atom
ΔE to the lowest computed polymorph = 0.360 eV/atom
calculated density = 8.7 Mg/m³
DFT total energy = -48.62 eV/cell

abc: 3.7260 3.7260 38.5227
angles: 90.00 90.00 120.00
Last column: nearest neighbours and their distance in Å.
Space group R-3m (No. 166, hexagonal axes)
One atom of each set of equivalent atoms:
Ac1 0.0000 0.0000 0.0917 x6  1 Sm 3.53, 3 Pb 3.60, 6 Ac 3.73
Sm1 0.0000 0.0000 0.0000 x3  2 Ac 3.53, 6 Sm 3.73
Pb1 0.0000 0.0000 0.5000 x3  6 Ac 3.60, 6 Pb 3.73